# 1
# Be2CoMo

An optimized crystal structure of Be2CoMo (GGA-PBE, Alexandria via LeMat-Bulk).

Computed properties:
electronic total energy = -6.303 eV/atom
calculated volume = 10.53 Å³/atom
symmetry = Fm-3m
ΔH_f (0 K) = 44.5 meV per atom
total moment = 1.6 μB per formula unit
E above lowest polymorph = 194 meV per atom

abc: 3.906 3.906 3.906
angles: 60.00 60.00 60.00
Sites, in units of the cell vectors:
Be  0.250  0.250  0.250
Be  0.750  0.750  0.750
Co  0.000  0.000  0.000
Mo  0.500  0.500  0.500

---

# 2
# BeCoMo

An optimized crystal structure of BeCoMo (GGA-PBE, Alexandria via LeMat-Bulk).

Computed properties:
electronic total energy = -7.016 eV/atom
calculated volume = 13.12 Å³/atom
symmetry = F-43m
ΔH_f (0 K) = 205.2 meV per atom
total moment = 0.0 μB per formula unit
E above lowest polymorph = 362 meV per atom

abc: 3.818 3.818 3.818
angles: 60.00 60.00 60.00
Sites, in units of the cell vectors:
Be  0.000  0.000  0.000
Co  0.250  0.250  0.250
Mo  0.500  0.500  0.500

---

# 3
# BeCoMo2

An optimized crystal structure of BeCoMo2 (GGA-PBE, Alexandria via LeMat-Bulk).

Computed properties:
electronic total energy = -8.001 eV/atom
calculated volume = 12.82 Å³/atom
symmetry = I-4m2
ΔH_f (0 K) = 122.9 meV per atom
total moment = 0.0 μB per formula unit

abc: 4.826 4.826 4.826
angles: 137.18 137.18 62.16
Sites, in units of the cell vectors:
Be  0.000  0.000  0.000
Co  0.250  0.750  0.500
Mo  0.500  0.500  0.000
Mo  0.750  0.250  0.500

---

# 4
# Be4CoMo

An optimized crystal structure of Be4CoMo (GGA-PBE, Alexandria via LeMat-Bulk).

Computed properties:
electronic total energy = -5.645 eV/atom
calculated volume = 9.47 Å³/atom
symmetry = F-43m
ΔH_f (0 K) = -171.5 meV per atom
total moment = 1.4 μB per formula unit

abc: 4.316 4.316 4.316
angles: 60.00 60.00 60.00
Sites, in units of the cell vectors:
Be  0.377  0.377  0.377
Be  0.377  0.377  0.870
Be  0.377  0.870  0.377
Be  0.870  0.377  0.377
Co  0.000  0.000  0.000
Mo  0.750  0.750  0.750

---

# 5
# Be2CoMo2

An optimized crystal structure of Be2CoMo2 (GGA-PBE, Alexandria via LeMat-Bulk).

Computed properties:
electronic total energy = -7.335 eV/atom
calculated volume = 11.47 Å³/atom
symmetry = P4/mbm
ΔH_f (0 K) = -91.1 meV per atom
total moment = 1.1 μB per formula unit

abc: 5.827 5.827 3.378
angles: 90.00 90.00 90.00
Sites, in units of the cell vectors:
Be  0.126  0.374  0.000
Be  0.374  0.874  0.000
Be  0.626  0.126  0.000
Be  0.874  0.626  0.000
Co  0.000  0.000  0.000
Co  0.500  0.500  0.000
Mo  0.174  0.674  0.500
Mo  0.326  0.174  0.500
Mo  0.674  0.826  0.500
Mo  0.826  0.326  0.500

---

# 6
# Be2Co3Mo

An optimized crystal structure of Be2Co3Mo (GGA-PBE, Alexandria via LeMat-Bulk).

Computed properties:
electronic total energy = -6.794 eV/atom
calculated volume = 10.20 Å³/atom
symmetry = P4/mmm
ΔH_f (0 K) = -193.8 meV per atom
total moment = 0.8 μB per formula unit

abc: 2.644 2.644 8.754
angles: 90.00 90.00 90.00
Sites, in units of the cell vectors:
Be  0.000  0.000  0.147
Be  0.000  0.000  0.853
Co  0.500  0.500  0.000
Co  0.500  0.500  0.294
Co  0.500  0.500  0.706
Mo  0.000  0.000  0.500

---

> Look up the ΔH_f (0 K) of the first one.

44.5 meV per atom

---

What did the third record say?
# BeCoMo2

An optimized crystal structure of BeCoMo2 (GGA-PBE, Alexandria via LeMat-Bulk).

Computed properties:
electronic total energy = -8.001 eV/atom
calculated volume = 12.82 Å³/atom
symmetry = I-4m2
ΔH_f (0 K) = 122.9 meV per atom
total moment = 0.0 μB per formula unit

abc: 4.826 4.826 4.826
angles: 137.18 137.18 62.16
Sites, in units of the cell vectors:
Be  0.000  0.000  0.000
Co  0.250  0.750  0.500
Mo  0.500  0.500  0.000
Mo  0.750  0.250  0.500

---

Copy entry 6 word for word.
# Be2Co3Mo

An optimized crystal structure of Be2Co3Mo (GGA-PBE, Alexandria via LeMat-Bulk).

Computed properties:
electronic total energy = -6.794 eV/atom
calculated volume = 10.20 Å³/atom
symmetry = P4/mmm
ΔH_f (0 K) = -193.8 meV per atom
total moment = 0.8 μB per formula unit

abc: 2.644 2.644 8.754
angles: 90.00 90.00 90.00
Sites, in units of the cell vectors:
Be  0.000  0.000  0.147
Be  0.000  0.000  0.853
Co  0.500  0.500  0.000
Co  0.500  0.500  0.294
Co  0.500  0.500  0.706
Mo  0.000  0.000  0.500

---

> What is the ΔH_f (0 K) in the fourth record?

-171.5 meV per atom